ScMoN2O PBE+U relaxed; N(E_F) = 0.408 states/eV/atom; total moment = 1.0 μB/cell; V = 13.62 Å³/atom; total DFT energy (no corrections) = -6.8201 eV/atom
1.0
-2.926 -1.828 -2.329
-1.871 -1.395 3.447
-2.166 3.276 0.150
Sc N Mo O
1 2 1 1
Cartesian
0.000 0.000 0.000
-0.936 -0.698 1.723
-1.463 -0.914 -1.164
-3.482 0.027 0.634
-1.083 1.638 0.075